(1)
# Pm4Ge3Pb

An optimized crystal structure of Pm4Ge3Pb (GGA-PBE, Alexandria via LeMat-Bulk).

Unit cell a=4.168 b=4.505 c=11.268 alpha=90.00 beta=90.00 gamma=90.00
Space group Pmm2 (No. 25)
Asymmetric unit:
1 Pm 0.000 0.000 0.000 [1 per cell]
2 Pm 0.000 0.500 0.484 [1 per cell]
3 Pm 0.500 0.000 0.710 [1 per cell]
4 Pm 0.500 0.500 0.221 [1 per cell]
5 Ge 0.000 0.000 0.273 [1 per cell]
6 Ge 0.500 0.000 0.437 [1 per cell]
7 Ge 0.500 0.500 0.953 [1 per cell]
8 Pb 0.000 0.500 0.772 [1 per cell]

(2)
# Pm3Ge2Pb

An optimized crystal structure of Pm3Ge2Pb (GGA-PBE, Alexandria via LeMat-Bulk).

Properties
**Energy above the lowest structure with this stoichiometry**: 0.000 eV per atom

Unit cell a=8.0555 b=8.0555 c=19.0506 alpha=90.00 beta=90.00 gamma=120.00
Space group R-3c (No. 167, hexagonal axes)
Asymmetric unit:
1 Pm 0.0000 0.3113 0.2500 [18 per cell]
2 Ge 0.0000 0.0000 0.1604 [12 per cell]
3 Pb 0.0000 0.0000 0.0000 [6 per cell]

(3)
# Pm4GePb2

An optimized crystal structure of Pm4GePb2 (GGA-PBE, Alexandria via LeMat-Bulk).

Properties
**Energy above the lowest structure with this stoichiometry**: 0.202 eV per atom

Unit cell a=5.403 b=5.403 c=16.719 alpha=90.00 beta=90.00 gamma=90.00
Space group I4/mmm (No. 139)
Asymmetric unit:
1 Pm 0.000 0.000 0.175 [4 per cell]
2 Pm 0.000 0.500 0.000 [4 per cell]
3 Ge 0.000 0.000 0.000 [2 per cell]
4 Pb 0.000 0.000 0.367 [4 per cell]

(4)
# Pm8GePb2

An optimized crystal structure of Pm8GePb2 (GGA-PBE, Alexandria via LeMat-Bulk).

Unit cell a=19.833 b=5.191 c=6.932 alpha=90.00 beta=104.20 gamma=90.00
Space group C2/m (No. 12)
Asymmetric unit:
1 Pm 0.016 0.000 0.275 [4 per cell]
2 Pm 0.089 0.500 0.965 [4 per cell]
3 Pm 0.152 0.500 0.506 [4 per cell]
4 Pm 0.217 0.000 0.826 [4 per cell]
5 Ge 0.000 0.500 0.500 [2 per cell]
6 Pb 0.179 0.000 0.260 [4 per cell]

(5)
# Pm7Ge2Pb

An optimized crystal structure of Pm7Ge2Pb (GGA-PBE, Alexandria via LeMat-Bulk).

Unit cell a=5.026 b=5.026 c=23.974 alpha=90.00 beta=90.00 gamma=90.00
Space group I4/mmm (No. 139)
Asymmetric unit:
1 Pm 0.000 0.000 0.000 [2 per cell]
2 Pm 0.000 0.500 0.102 [8 per cell]
3 Pm 0.000 0.500 0.250 [4 per cell]
4 Ge 0.000 0.000 0.177 [4 per cell]
5 Pb 0.000 0.000 0.500 [2 per cell]

(6)
# Pm4GePb2

An optimized crystal structure of Pm4GePb2 (GGA-PBE, Alexandria via LeMat-Bulk).

Properties
**Energy above the lowest structure with this stoichiometry**: 0.000 eV per atom

Unit cell a=11.846 b=4.717 c=9.024 alpha=90.00 beta=121.50 gamma=90.00
Space group C2/m (No. 12)
Asymmetric unit:
1 Pm 0.079 0.000 0.367 [4 per cell]
2 Pm 0.172 0.500 0.063 [4 per cell]
3 Ge 0.000 0.000 0.000 [2 per cell]
4 Pb 0.148 0.500 0.664 [4 per cell]

(7)
# Pm2GePb2

An optimized crystal structure of Pm2GePb2 (GGA-PBE, Alexandria via LeMat-Bulk).

Unit cell a=4.203 b=4.203 c=17.142 alpha=90.00 beta=90.00 gamma=90.00
Space group I4/mmm (No. 139)
Asymmetric unit:
1 Pm 0.000 0.000 0.092 [4 per cell]
2 Ge 0.000 0.000 0.500 [2 per cell]
3 Pb 0.000 0.500 0.250 [4 per cell]

(8)
# Pm8Ge2Pb

An optimized crystal structure of Pm8Ge2Pb (GGA-PBE, Alexandria via LeMat-Bulk).

Unit cell a=19.831 b=4.808 c=7.322 alpha=90.00 beta=104.96 gamma=90.00
Space group C2/m (No. 12)
Asymmetric unit:
1 Pm 0.034 0.000 0.257 [4 per cell]
2 Pm 0.099 0.500 0.973 [4 per cell]
3 Pm 0.167 0.500 0.485 [4 per cell]
4 Pm 0.213 0.000 0.833 [4 per cell]
5 Ge 0.186 0.000 0.237 [4 per cell]
6 Pb 0.000 0.500 0.500 [2 per cell]

(9)
# Pm5Ge3Pb3

An optimized crystal structure of Pm5Ge3Pb3 (GGA-PBE, Alexandria via LeMat-Bulk).

Unit cell a=9.7080 b=9.7080 c=4.2830 alpha=90.00 beta=90.00 gamma=120.00
Space group P-62m (No. 189)
Asymmetric unit:
1 Pm 0.0000 0.2241 0.0000 [3 per cell]
2 Pm 0.3333 0.6667 0.0000 [2 per cell]
3 Ge 0.0000 0.6445 0.0000 [3 per cell]
4 Pb 0.0000 0.4627 0.5000 [3 per cell]

(10)
# Pm6GePb3

An optimized crystal structure of Pm6GePb3 (GGA-PBE, Alexandria via LeMat-Bulk).

Unit cell a=11.568 b=4.336 c=13.543 alpha=90.00 beta=109.29 gamma=90.00
Space group P2_1/m (No. 11)
Asymmetric unit:
1 Pm 0.013 0.250 0.351 [2 per cell]
2 Pm 0.086 0.250 0.904 [2 per cell]
3 Pm 0.254 0.750 0.330 [2 per cell]
4 Pm 0.350 0.750 0.777 [2 per cell]
5 Pm 0.353 0.750 0.133 [2 per cell]
6 Pm 0.397 0.250 0.553 [2 per cell]
7 Ge 0.443 0.250 0.318 [2 per cell]
8 Pb 0.128 0.250 0.147 [2 per cell]
9 Pb 0.174 0.750 0.529 [2 per cell]
10 Pb 0.391 0.250 0.963 [2 per cell]

(11)
# Pm6Ge2Pb

An optimized crystal structure of Pm6Ge2Pb (GGA-PBE, Alexandria via LeMat-Bulk).

Unit cell a=9.788 b=10.094 c=10.714 alpha=90.00 beta=90.00 gamma=90.00
Space group Immm (No. 71)
Asymmetric unit:
1 Pm 0.000 0.206 0.242 [8 per cell]
2 Pm 0.205 0.500 0.178 [8 per cell]
3 Pm 0.222 0.313 0.500 [8 per cell]
4 Ge 0.000 0.367 0.000 [4 per cell]
5 Ge 0.000 0.500 0.382 [4 per cell]
6 Pb 0.000 0.000 0.000 [2 per cell]
7 Pb 0.000 0.000 0.500 [2 per cell]

(12)
# PmGePtPb

An optimized crystal structure of PmGePtPb (GGA-PBE, Alexandria via LeMat-Bulk).

Unit cell a=7.164 b=7.164 c=7.164 alpha=90.00 beta=90.00 gamma=90.00
Space group F-43m (No. 216)
Asymmetric unit:
1 Pm 0.000 0.000 0.000 [4 per cell]
2 Ge 0.250 0.250 0.750 [4 per cell]
3 Pt 0.250 0.250 0.250 [4 per cell]
4 Pb 0.000 0.000 0.500 [4 per cell]

no.,uncorrected energy (eV per atom),energy relative to the elements (kJ/mol of atoms)
1,-5.320,-72.3
2,-5.177,-62.2
3,-4.826,-37.8
4,-4.883,-32.2
5,-5.016,-38.2
6,-5.028,-57.3
7,-4.471,-15.8
8,-4.990,-34.6
9,-4.678,-23.9
10,-4.850,-41.0
11,-5.162,-53.8
12,-5.204,-41.0